The following is a GGA+U calculation of a relaxed Mo3IrF crystal, from the Alexandria database.

a = 5.1139 Å, b = 5.1139 Å, c = 5.1139 Å
α = 90.00°, β = 90.00°, γ = 90.00°
Sites, in units of the cell vectors:
Mo: 0.0000 0.5000 0.0000
Mo: 0.0000 0.0000 0.5000
Mo: 0.5000 0.0000 0.0000
Ir: 0.0000 0.0000 0.0000
F: 0.5000 0.5000 0.5000

Calculated values
As for the total energy: -5.03 eV per atom. As for the mass density: 6.2 g cm⁻³. The calculation puts the volume at 134 Å³ per cell. The value obtained for the energy relative to the lowest polymorph listed for this composition is 0.219 eV/atom. For the density of states at the Fermi level, the calculation gives 4.2 states/eV/cell.